Ca2GaNi4As3 | PBE-GGA | optimized geometry

Calculated values
M_tot   0.000 μB/atom
Calculated formation energy   -0.6525 eV per atom
Total energy   -5.06 eV/atom

```
data_Ca2GaNi4As3
_space_group_name_H-M_alt 'P -4 m 2'
_space_group_IT_number 115
_cell_length_a 4.086
_cell_length_b 4.086
_cell_length_c 9.850
_cell_angle_alpha 90.00
_cell_angle_beta 90.00
_cell_angle_gamma 90.00
loop_
_space_group_symop_operation_xyz
'x,y,z'
'y,-x,-z'
'-x,-y,z'
'-y,x,-z'
'-x,y,z'
'-y,-x,-z'
'x,-y,z'
'y,x,-z'
loop_
_atom_site_label
_atom_site_type_symbol
_atom_site_fract_x
_atom_site_fract_y
_atom_site_fract_z
Ca1 Ca 0.000 0.500 0.245
Ga1 Ga 0.000 0.000 0.500
Ni1 Ni 0.000 0.000 0.000
Ni2 Ni 0.000 0.500 0.631
Ni3 Ni 0.500 0.500 0.000
As1 As 0.000 0.500 0.870
As2 As 0.500 0.500 0.500
```